NaZn12Pd6: relaxed, GGA-PBE.

Properties
crystal system = trigonal

POSCAR file:
```
NaZn12Pd6
1.0
5.759 3.325 2.855
-5.759 3.325 2.855
0.000 -6.650 2.855
Na Zn Pd
1 12 6
Direct
0.000 0.000 0.000 Na
0.112 0.385 0.385 Zn
0.114 0.500 0.886 Zn
0.114 0.886 0.500 Zn
0.385 0.112 0.385 Zn
0.385 0.385 0.112 Zn
0.500 0.114 0.886 Zn
0.500 0.886 0.114 Zn
0.615 0.615 0.888 Zn
0.615 0.888 0.615 Zn
0.886 0.114 0.500 Zn
0.886 0.500 0.114 Zn
0.888 0.615 0.615 Zn
0.283 0.283 0.687 Pd
0.283 0.687 0.283 Pd
0.313 0.717 0.717 Pd
0.687 0.283 0.283 Pd
0.717 0.313 0.717 Pd
0.717 0.717 0.313 Pd
```

NaZn6Pd12: relaxed, GGA-PBE.

Properties
crystal system = trigonal

POSCAR file:
```
NaZn6Pd12
1.0
5.752 3.321 2.815
-5.752 3.321 2.815
0.000 -6.642 2.815
Na Zn Pd
1 6 12
Direct
0.000 0.000 0.000 Na
0.274 0.274 0.706 Zn
0.274 0.706 0.274 Zn
0.294 0.726 0.726 Zn
0.706 0.274 0.274 Zn
0.726 0.294 0.726 Zn
0.726 0.726 0.294 Zn
0.119 0.500 0.881 Pd
0.119 0.881 0.500 Pd
0.153 0.404 0.404 Pd
0.404 0.153 0.404 Pd
0.404 0.404 0.153 Pd
0.500 0.119 0.881 Pd
0.500 0.881 0.119 Pd
0.596 0.596 0.847 Pd
0.596 0.847 0.596 Pd
0.847 0.596 0.596 Pd
0.881 0.119 0.500 Pd
0.881 0.500 0.119 Pd
```

NaZn2Pd: relaxed, GGA-PBE.

Properties
crystal system = tetragonal

POSCAR file:
```
NaZn2Pd
1.0
4.619 0.000 0.000
0.000 4.619 0.000
0.000 0.000 3.054
Na Zn Pd
1 2 1
Direct
0.000 0.000 0.000 Na
0.000 0.500 0.500 Zn
0.500 0.000 0.500 Zn
0.500 0.500 0.000 Pd
```

Na2Zn15Pd2: relaxed, GGA-PBE.

Properties
crystal system = trigonal

POSCAR file:
```
Na2Zn15Pd2
1.0
4.522 2.611 4.365
-4.522 2.611 4.365
0.000 -5.222 4.365
Na Zn Pd
2 15 2
Direct
0.158 0.158 0.158 Na
0.842 0.842 0.842 Na
0.000 0.500 0.500 Zn
0.150 0.150 0.651 Zn
0.150 0.651 0.150 Zn
0.208 0.500 0.792 Zn
0.208 0.792 0.500 Zn
0.349 0.850 0.850 Zn
0.500 0.000 0.500 Zn
0.500 0.208 0.792 Zn
0.500 0.500 0.000 Zn
0.500 0.792 0.208 Zn
0.651 0.150 0.150 Zn
0.792 0.208 0.500 Zn
0.792 0.500 0.208 Zn
0.850 0.349 0.850 Zn
0.850 0.850 0.349 Zn
0.391 0.391 0.391 Pd
0.609 0.609 0.609 Pd
```

| no. | formation enthalpy at 0 K (eV per atom) | M_tot (μB per atom) | total DFT energy (no corrections) (eV/atom) |
| --- | --- | --- | --- |
| 1 | -0.253 | 0.00 | -2.767 |
| 2 | -0.240 | 0.00 | -3.991 |
| 3 | -0.101 | 0.00 | -2.366 |
| 4 | -0.129 | 0.00 | -1.820 |